1.
NiSbCF2: relaxed, PBEsol.

```
NiSbCF2
1.0
3.791 0.000 0.000
0.000 3.791 0.000
0.000 0.000 4.126
Ni Sb C F
1 1 1 2
Cartesian
0.000 0.000 0.000 Ni
1.896 1.896 2.063 Sb
0.000 0.000 2.063 C
0.000 1.896 0.000 F
1.896 0.000 0.000 F
```

Properties
The uncorrected formation energy comes out at -79 meV per atom. The calculated volume comes out at 11.9 A^3/atom.


2.
PbCO2F: relaxed, PBEsol.

```
PbCO2F
1.0
4.182 0.000 0.000
0.000 4.182 0.000
0.000 0.000 4.256
Pb C O F
1 1 2 1
Cartesian
0.000 0.000 0.000 Pb
2.091 2.091 2.128 C
0.000 2.091 0.000 O
2.091 0.000 0.000 O
0.000 0.000 2.128 F
```

Properties
The uncorrected formation energy comes out at 884 meV per atom. The calculated volume comes out at 14.9 A^3/atom.


3.
RbCOF2: relaxed, PBEsol.

```
RbCOF2
1.0
4.439 0.000 0.000
0.000 4.439 0.000
0.000 0.000 2.980
Rb C O F
1 1 1 2
Cartesian
0.000 0.000 0.000 Rb
2.220 2.220 1.490 C
2.220 2.220 0.000 O
0.000 2.220 1.490 F
2.220 0.000 1.490 F
```

Properties
The uncorrected formation energy comes out at -606 meV per atom. The calculated volume comes out at 11.7 A^3/atom.


4.
RbCOF3: relaxed, PBEsol.

```
RbCOF3
1.0
5.659 0.000 0.000
0.000 7.342 0.000
-0.157 0.000 8.895
Rb C O F
4 4 4 12
Cartesian
1.269 1.152 1.575 Rb
1.190 2.519 6.023 Rb
4.312 4.824 2.873 Rb
4.234 6.190 7.320 Rb
1.331 5.178 0.628 C
1.253 5.836 5.075 C
4.250 1.506 3.820 C
4.171 2.165 8.268 C
0.233 5.161 5.227 O
0.311 5.853 0.779 O
5.191 1.490 8.116 O
5.269 2.181 3.668 O
1.344 4.533 8.277 F
1.422 6.480 3.829 F
1.534 4.118 1.561 F
1.456 6.896 6.009 F
2.508 5.120 5.196 F
2.586 5.894 0.748 F
2.916 1.448 8.147 F
2.994 2.223 3.699 F
4.047 0.447 2.887 F
3.968 3.224 7.334 F
4.080 0.862 5.066 F
4.158 2.809 0.618 F
```

Properties
The uncorrected formation energy comes out at -2031 meV per atom. The calculated volume comes out at 15.4 A^3/atom.


5.
RbSrCO3F: relaxed, PBEsol.

```
RbSrCO3F
1.0
5.276 0.000 0.000
-2.638 4.569 0.000
0.000 0.000 4.767
Rb Sr C O F
1 1 1 3 1
Cartesian
0.000 0.000 0.000 Rb
2.638 1.523 2.383 Sr
0.000 3.046 2.383 C
0.000 1.749 2.383 O
-1.123 3.695 2.383 O
1.123 3.695 2.383 O
2.638 1.523 0.000 F
```

Properties
The uncorrected formation energy comes out at -2440 meV per atom. The calculated volume comes out at 16.4 A^3/atom.


6.
SiCOF2: relaxed, PBEsol.

```
SiCOF2
1.0
3.763 0.000 0.000
0.000 3.763 0.000
0.000 0.000 3.297
Si C O F
1 1 1 2
Cartesian
0.000 0.000 0.000 Si
1.882 1.882 1.648 C
0.000 0.000 1.648 O
0.000 1.882 0.000 F
1.882 0.000 0.000 F
```

Properties
The uncorrected formation energy comes out at -381 meV per atom. The calculated volume comes out at 9.3 A^3/atom.


7.
SiCO2F: relaxed, PBEsol.

```
SiCO2F
1.0
3.476 0.000 0.000
0.000 3.476 0.000
0.000 0.000 3.540
Si C O F
1 1 2 1
Cartesian
0.000 0.000 0.000 Si
1.738 1.738 1.770 C
0.000 1.738 0.000 O
1.738 0.000 0.000 O
0.000 0.000 1.770 F
```

Properties
The uncorrected formation energy comes out at -400 meV per atom. The calculated volume comes out at 8.6 A^3/atom.


8.
TaC2OF: relaxed, PBEsol.

```
TaC2OF
1.0
4.163 0.000 0.000
0.000 4.163 0.000
0.000 0.000 3.966
Ta C O F
1 2 1 1
Cartesian
0.000 0.000 0.000 Ta
0.000 2.082 0.000 C
2.082 0.000 0.000 C
2.082 2.082 1.983 O
0.000 0.000 1.983 F
```

Properties
The uncorrected formation energy comes out at 1162 meV per atom. The calculated volume comes out at 13.7 A^3/atom.


9.
Tl3CO3F: relaxed, PBEsol.

```
Tl3CO3F
1.0
7.450 0.000 0.000
0.000 5.927 0.000
-3.724 0.000 6.453
Tl C O F
6 2 6 2
Cartesian
-0.610 1.482 2.183 Tl
-1.530 1.482 5.886 Tl
1.589 4.445 1.619 Tl
2.137 1.482 4.834 Tl
5.255 4.445 0.567 Tl
4.336 4.445 4.270 Tl
0.004 4.445 4.303 C
3.722 1.482 2.149 C
-0.524 4.445 3.116 O
-0.760 4.445 5.354 O
2.429 1.482 2.012 O
1.297 4.445 4.440 O
4.486 1.482 1.099 O
4.249 1.482 3.337 O
0.000 0.000 0.000 F
0.000 2.963 0.000 F
```

Properties
The uncorrected formation energy comes out at -1242 meV per atom. The calculated volume comes out at 17.8 A^3/atom.


10.
WCO2F: relaxed, PBEsol.

```
WCO2F
1.0
3.827 0.000 0.000
0.000 3.827 0.000
0.000 0.000 4.023
W C O F
1 1 2 1
Cartesian
0.000 0.000 0.000 W
1.913 1.913 2.011 C
0.000 1.913 0.000 O
1.913 0.000 0.000 O
0.000 0.000 2.011 F
```

Properties
The uncorrected formation energy comes out at -102 meV per atom. The calculated volume comes out at 11.8 A^3/atom.


11.
POsC2F: relaxed, PBEsol.

```
POsC2F
1.0
3.846 0.000 0.000
0.000 3.846 0.000
0.000 0.000 4.715
P Os C F
1 1 2 1
Cartesian
0.000 0.000 0.000 P
0.000 0.000 2.357 Os
0.000 1.923 2.357 C
1.923 0.000 2.357 C
1.923 1.923 0.000 F
```

Properties
The uncorrected formation energy comes out at 1081 meV per atom. The calculated volume comes out at 13.9 A^3/atom.


12.
PCF2: relaxed, PBEsol.

```
PCF2
1.0
0.000 3.892 3.892
3.892 0.000 3.892
3.892 3.892 0.000
P C F
2 2 4
Cartesian
0.973 0.973 0.973 P
6.810 6.810 6.810 P
2.919 2.919 2.919 C
4.864 4.864 4.864 C
3.892 1.946 1.946 F
1.946 3.892 1.946 F
1.946 1.946 3.892 F
3.892 3.892 3.892 F
```

Properties
The uncorrected formation energy comes out at 1155 meV per atom. The calculated volume comes out at 14.7 A^3/atom.


13.
PCF2: relaxed, PBEsol.

```
PCF2
1.0
1.207 0.697 9.400
-1.207 0.697 9.400
0.000 -1.393 9.400
P C F
1 1 2
Cartesian
0.000 0.000 0.000 P
0.000 0.000 14.100 C
0.000 0.000 1.613 F
0.000 0.000 26.587 F
```

Properties
The uncorrected formation energy comes out at 315 meV per atom. The calculated volume comes out at 11.9 A^3/atom.


14.
PbCF3: relaxed, PBEsol.

```
PbCF3
1.0
4.493 0.000 0.000
0.000 4.493 0.000
0.000 0.000 4.493
Pb C F
1 1 3
Cartesian
0.000 0.000 0.000 Pb
2.247 2.247 2.247 C
0.000 0.000 2.247 F
0.000 2.247 0.000 F
2.247 0.000 0.000 F
```

Properties
The uncorrected formation energy comes out at -41 meV per atom. The calculated volume comes out at 18.1 A^3/atom.


15.
PbC2F: relaxed, PBEsol.

```
PbC2F
1.0
-1.584 1.584 10.620
1.584 -1.584 10.620
1.584 1.584 -10.620
Pb C F
2 4 2
Cartesian
1.584 0.792 2.655 Pb
0.000 0.792 7.965 Pb
0.000 0.000 0.000 C
0.792 0.792 -5.310 C
0.792 -0.792 5.310 C
0.000 1.584 0.000 C
1.584 -0.792 7.965 F
0.000 2.376 2.655 F
```

Properties
The uncorrected formation energy comes out at 1057 meV per atom. The calculated volume comes out at 13.3 A^3/atom.


16.
Pb2CF: relaxed, PBEsol.

```
Pb2CF
1.0
0.000 3.227 3.227
3.227 0.000 3.227
3.227 3.227 0.000
Pb C F
2 1 1
Cartesian
1.613 1.613 1.613 Pb
4.840 4.840 4.840 Pb
0.000 0.000 0.000 C
3.227 3.227 3.227 F
```

Properties
The uncorrected formation energy comes out at 294 meV per atom. The calculated volume comes out at 16.8 A^3/atom.


17.
ZnPbCF2: relaxed, PBEsol.

```
ZnPbCF2
1.0
3.921 0.000 0.000
0.000 3.921 0.000
0.000 0.000 4.842
Zn Pb C F
1 1 1 2
Cartesian
0.000 0.000 0.000 Zn
1.960 1.960 0.000 Pb
1.960 1.960 2.421 C
0.000 1.960 2.421 F
1.960 0.000 2.421 F
```

Properties
The uncorrected formation energy comes out at 245 meV per atom. The calculated volume comes out at 14.9 A^3/atom.


18.
TlPdCF2: relaxed, PBEsol.

```
TlPdCF2
1.0
3.844 0.000 0.000
0.000 3.844 0.000
0.000 0.000 4.729
Tl Pd C F
1 1 1 2
Cartesian
0.000 0.000 0.000 Tl
1.922 1.922 0.000 Pd
0.000 0.000 2.365 C
0.000 1.922 2.365 F
1.922 0.000 2.365 F
```

Properties
The uncorrected formation energy comes out at 436 meV per atom. The calculated volume comes out at 14.0 A^3/atom.


19.
PtCF2: relaxed, PBEsol.

```
PtCF2
1.0
1.262 0.729 9.659
-1.262 0.729 9.659
0.000 -1.457 9.659
Pt C F
1 1 2
Cartesian
0.000 0.000 0.000 Pt
0.000 0.000 14.488 C
0.000 0.000 13.128 F
0.000 0.000 15.848 F
```

Properties
The uncorrected formation energy comes out at 462 meV per atom. The calculated volume comes out at 13.3 A^3/atom.


20.
RbCF2: relaxed, PBEsol.

```
RbCF2
1.0
0.000 3.087 3.087
3.087 0.000 3.087
3.087 3.087 0.000
Rb C F
1 1 2
Cartesian
0.000 0.000 0.000 Rb
3.087 3.087 3.087 C
1.544 1.544 1.544 F
4.631 4.631 4.631 F
```

Properties
The uncorrected formation energy comes out at 263 meV per atom. The calculated volume comes out at 14.7 A^3/atom.


21.
Rb2CF: relaxed, PBEsol.

```
Rb2CF
1.0
-3.701 3.701 4.421
3.701 -3.701 4.421
3.701 3.701 -4.421
Rb C F
4 2 2
Cartesian
1.850 1.555 -1.105 Rb
2.146 -1.850 5.526 Rb
1.850 2.146 3.316 Rb
1.555 5.551 1.105 Rb
3.701 0.000 2.211 C
0.000 0.000 4.421 C
0.000 0.000 0.000 F
0.000 3.701 2.211 F
```

Properties
The uncorrected formation energy comes out at -53 meV per atom. The calculated volume comes out at 30.3 A^3/atom.


22.
Rb3CF: relaxed, PBEsol.

```
Rb3CF
1.0
5.307 0.000 0.000
0.000 5.307 0.000
0.000 0.000 5.307
Rb C F
3 1 1
Cartesian
0.000 0.000 2.654 Rb
0.000 2.654 0.000 Rb
2.654 0.000 0.000 Rb
2.654 2.654 2.654 C
0.000 0.000 0.000 F
```

Properties
The uncorrected formation energy comes out at -55 meV per atom. The calculated volume comes out at 29.9 A^3/atom.


23.
RbC3F: relaxed, PBEsol.

```
RbC3F
1.0
4.301 0.000 0.000
0.000 4.301 0.000
0.000 0.000 4.301
Rb C F
1 3 1
Cartesian
0.000 0.000 0.000 Rb
0.000 2.150 2.150 C
2.150 0.000 2.150 C
2.150 2.150 0.000 C
2.150 2.150 2.150 F
```

Properties
The uncorrected formation energy comes out at 3314 meV per atom. The calculated volume comes out at 15.9 A^3/atom.


24.
Ru3CF: relaxed, PBEsol.

```
Ru3CF
1.0
3.982 0.000 0.000
0.000 3.982 0.000
0.000 0.000 3.982
Ru C F
3 1 1
Cartesian
0.000 0.000 1.991 Ru
0.000 1.991 0.000 Ru
1.991 0.000 0.000 Ru
0.000 0.000 0.000 C
1.991 1.991 1.991 F
```

Properties
The uncorrected formation energy comes out at 681 meV per atom. The calculated volume comes out at 12.6 A^3/atom.


25.
RuW2CF: relaxed, PBEsol.

```
RuW2CF
1.0
4.133 0.000 0.000
0.000 4.133 0.000
0.000 0.000 3.892
Ru W C F
1 2 1 1
Cartesian
0.000 0.000 0.000 Ru
0.000 2.066 1.946 W
2.066 0.000 1.946 W
0.000 0.000 1.946 C
2.066 2.066 0.000 F
```

Properties
The uncorrected formation energy comes out at 656 meV per atom. The calculated volume comes out at 13.3 A^3/atom.


26.
SbC2F: relaxed, PBEsol.

```
SbC2F
1.0
0.000 2.779 2.779
2.779 0.000 2.779
2.779 2.779 0.000
Sb C F
1 2 1
Cartesian
0.000 0.000 0.000 Sb
1.389 1.389 1.389 C
4.168 4.168 4.168 C
2.779 2.779 2.779 F
```

Properties
The uncorrected formation energy comes out at 1673 meV per atom. The calculated volume comes out at 10.7 A^3/atom.


27.
ScCF3: relaxed, PBEsol.

```
ScCF3
1.0
3.887 0.000 0.000
0.000 3.887 0.000
0.000 0.000 3.887
Sc C F
1 1 3
Cartesian
0.000 0.000 0.000 Sc
1.944 1.944 1.944 C
0.000 1.944 1.944 F
1.944 0.000 1.944 F
1.944 1.944 0.000 F
```

Properties
The uncorrected formation energy comes out at -460 meV per atom. The calculated volume comes out at 11.7 A^3/atom.